Density functional theory data (PBE) for a geometry-optimized KMn2Fe structure.

Cell: 2.796 5.581 10.394 Å, 90.00 90.00 90.00°
Fractional coordinates of all 8 atoms:
K 0.000 0.000 0.000
K 0.500 0.500 0.500
Mn 0.000 0.500 0.204
Mn 0.000 0.500 0.796
Mn 0.500 0.000 0.296
Mn 0.500 0.000 0.704
Fe 0.000 0.000 0.500
Fe 0.500 0.500 0.000

Properties
The density of states at the Fermi level comes out at 10.5 states/eV/cell. The value obtained for the spin magnetization is 2.60 μB/atom. The calculation puts the energy above the most stable polymorph in this dataset at 1.46 eV per formula unit. The calculation puts the final energy at -5.91 eV/atom.


Density functional theory data (PBE) for a geometry-optimized Ta2MoOs2 structure.

Cell: 7.490 7.490 3.013 Å, 90.00 90.00 90.00°
Fractional coordinates of all 10 atoms:
Ta 0.164 0.336 0.000
Ta 0.336 0.836 0.000
Ta 0.664 0.164 0.000
Ta 0.836 0.664 0.000
Mo 0.000 0.000 0.500
Mo 0.500 0.500 0.500
Os 0.136 0.636 0.500
Os 0.364 0.136 0.500
Os 0.636 0.864 0.500
Os 0.864 0.364 0.500

Properties
The density of states at the Fermi level comes out at 10.1 states/eV/cell. The value obtained for the spin magnetization is 0.00 μB/atom. The calculation puts the final energy at -11.30 eV/atom.


Density functional theory data (PBE) for a geometry-optimized Na2LaRuC structure.

Cell: 4.836 4.836 4.111 Å, 90.00 90.00 90.00°
Fractional coordinates of all 5 atoms:
Na 0.000 0.500 0.000
Na 0.500 0.000 0.000
La 0.000 0.000 0.500
Ru 0.500 0.500 0.500
C 0.500 0.500 0.000

Properties
The density of states at the Fermi level comes out at 3.3 states/eV/cell. The value obtained for the spin magnetization is 0.00 μB/atom. The calculation puts the final energy at -4.62 eV/atom.


Density functional theory data (PBE) for a geometry-optimized BaAg2IrRu structure.

Cell: 5.624 5.624 5.156 Å, 90.00 90.00 90.00°
Fractional coordinates of all 5 atoms:
Ba 0.000 0.000 0.000
Ag 0.000 0.500 0.000
Ag 0.500 0.000 0.000
Ir 0.000 0.000 0.500
Ru 0.500 0.500 0.500

Properties
The density of states at the Fermi level comes out at 7.0 states/eV/cell. The value obtained for the spin magnetization is 0.53 μB/atom. The calculation puts the final energy at -2.81 eV/atom.


Density functional theory data (PBE) for a geometry-optimized Pr12Nd3Zn structure.

Cell: 5.149 5.149 20.825 Å, 90.00 90.00 90.00°
Fractional coordinates of all 16 atoms:
Pr 0.000 0.000 0.000
Pr 0.000 0.000 0.242
Pr 0.000 0.000 0.500
Pr 0.000 0.000 0.758
Pr 0.000 0.500 0.117
Pr 0.000 0.500 0.372
Pr 0.000 0.500 0.628
Pr 0.000 0.500 0.883
Pr 0.500 0.000 0.117
Pr 0.500 0.000 0.372
Pr 0.500 0.000 0.628
Pr 0.500 0.000 0.883
Nd 0.500 0.500 0.244
Nd 0.500 0.500 0.500
Nd 0.500 0.500 0.756
Zn 0.500 0.500 0.000

Properties
The density of states at the Fermi level comes out at 23.1 states/eV/cell. The value obtained for the spin magnetization is 0.00 μB/atom. The calculation puts the final energy at -4.55 eV/atom.


Density functional theory data (PBE) for a geometry-optimized RbBaHg3 structure.

Cell: 16.314 16.314 5.211 Å, 90.00 90.00 164.12°
Fractional coordinates of all 10 atoms:
Rb 0.207 0.793 0.750
Rb 0.793 0.207 0.250
Ba 0.068 0.932 0.250
Ba 0.932 0.068 0.750
Hg 0.335 0.665 0.750
Hg 0.384 0.616 0.250
Hg 0.477 0.523 0.250
Hg 0.523 0.477 0.750
Hg 0.616 0.384 0.750
Hg 0.665 0.335 0.250

Properties
The density of states at the Fermi level comes out at 7.2 states/eV/cell. The value obtained for the spin magnetization is 0.00 μB/atom. The calculation puts the energy above the most stable polymorph in this dataset at 0.00 eV per formula unit. The calculation puts the final energy at -1.13 eV/atom.